[1]
Computed, not measured: crystalline BiRh2Pb at its relaxed geometry at the PBE level of DFT.

The formation energy is -0.1339 eV/atom. The crystal system is monoclinic.

The space group is P2_1/c (No. 14) and the conventional cell measures 8.2895, 6.8981 and 5.8934 Å, with angles of 90.00, 90.06 and 90.00 degrees. Symmetry generates all atoms from Bi at (0.1279, 0.0870, 0.2102), Rh at (0.1196, 0.7148, 0.0059), Rh at (0.3708, 0.2165, 0.4945) and Pb at (0.3767, 0.5944, 0.2856).

***

[2]
Computed, not measured: crystalline AcSb2Os at its relaxed geometry at the PBE level of DFT.

The crystal system is tetragonal. The value obtained for the formation energy (no corrections) is 0.208 eV/atom.

The space group is P4/mmm (No. 123) and the conventional cell measures 4.5831, 4.5831 and 4.7853 Å, with angles of 90.00, 90.00 and 90.00 degrees. Symmetry generates all atoms from Ac at (0.0000, 0.0000, 0.0000), Sb at (0.0000, 0.5000, 0.5000) and Os at (0.5000, 0.5000, 0.0000).

***

[3]
Computed, not measured: crystalline Ce2SnTe5 at its relaxed geometry at the PBE level of DFT.

The crystal system is orthorhombic. The value obtained for the formation energy (no corrections) is -0.946 eV/atom.

The space group is Pbam (No. 55) and the conventional cell measures 8.6714, 13.2478 and 4.3961 Å, with angles of 90.00, 90.00 and 90.00 degrees. Symmetry generates all atoms from Ce at (0.0314, 0.1757, 0.0000), Sn at (0.0000, 0.5000, 0.5000), Te at (0.0000, 0.0000, 0.5000), Te at (0.1774, 0.3972, 0.0000) and Te at (0.1809, 0.6971, 0.5000).

***

[4]
Computed, not measured: crystalline Nd2NpPdSe5 at its relaxed geometry at the PBE level of DFT.

The crystal system is orthorhombic. The value obtained for the formation energy (no corrections) is -1.364 eV/atom.

The space group is Cmc2_1 (No. 36) and the conventional cell measures 4.0633, 17.5994 and 12.4022 Å, with angles of 90.00, 90.00 and 90.00 degrees. Symmetry generates all atoms from Nd at (0.0000, 0.1136, 0.0000), Nd at (0.0000, 0.1184, 0.6271), Np at (0.0000, 0.1904, 0.3210), Pd at (0.0000, 0.4366, 0.7477), Se at (0.0000, 0.0370, 0.3631), Se at (0.0000, 0.2968, 0.9831), Se at (0.0000, 0.3042, 0.6539), Se at (0.0000, 0.3552, 0.3144) and Se at (0.0000, 0.4971, 0.0686).